The following is a DFT calculation (PBE) of Y2Al8Au after structural relaxation.

a = 4.3172 Å, b = 4.3172 Å, c = 11.3630 Å
α = 90.00°, β = 90.00°, γ = 90.00°
Element x y z (fractional)
Y1 0.0000 0.0000 0.1838
Y2 0.0000 0.0000 0.8162
Al1 0.0000 0.5000 0.0000
Al2 0.0000 0.5000 0.3688
Al3 0.0000 0.5000 0.6312
Al4 0.5000 0.0000 0.0000
Al5 0.5000 0.0000 0.3688
Al6 0.5000 0.0000 0.6312
Al7 0.5000 0.5000 0.1944
Al8 0.5000 0.5000 0.8056
Au1 0.0000 0.0000 0.5000

Output
The symmetry is P4/mmm. The formation enthalpy at 0 K comes out at -4.1 eV per formula unit. As for the total magnetic moment: 0.000 μB/f.u. The theoretical density comes out at 4.63 g/cm3.